[1]
Computed, not measured: ZrAlIr2 after structural relaxation at the PBE level of DFT.

```
4
Lattice="4.502 0.000 0.000 0.000 4.502 0.000 0.000 0.000 3.195" Properties=species:S:1:pos:R:3 pbc="T T T"
Zr 0.000 0.000 0.000
Al 2.251 2.251 0.000
Ir 0.000 2.251 1.598
Ir 2.251 0.000 1.598
```

Results
symmetry	P4/mmm, No. 123
formation enthalpy at 0 K	-772.6	meV/atom
uncorrected energy	-8.276	eV/atom

***

[2]
Computed, not measured: Mo2C after structural relaxation at the PBE level of DFT.

```
6
Lattice="-1.376 1.376 9.981 1.376 -1.376 9.981 1.376 1.376 -9.981" Properties=species:S:1:pos:R:3 pbc="T T T"
Mo 1.376 0.688 1.221
Mo 1.376 0.688 3.770
Mo 0.000 0.688 6.211
Mo 0.000 0.688 8.760
C 1.376 -0.688 7.486
C 0.000 2.064 2.495
```

Results
symmetry	I4_1/amd, No. 141
formation enthalpy at 0 K	668.6	meV/atom
uncorrected energy	-9.627	eV/atom

***

[3]
Computed, not measured: ErScAlPd after structural relaxation at the PBE level of DFT.

```
4
Lattice="0.000 3.456 3.456 3.456 0.000 3.456 3.456 3.456 0.000" Properties=species:S:1:pos:R:3 pbc="T T T"
Er 0.000 0.000 0.000
Sc 3.456 3.456 3.456
Al 5.184 5.184 5.184
Pd 1.728 1.728 1.728
```

Results
distance to the lowest polymorph of the same formula	0.070	eV per atom
symmetry	F-43m, No. 216
formation enthalpy at 0 K	-598.7	meV/atom
uncorrected energy	-5.556	eV/atom

***

[4]
Computed, not measured: Tb10Pm4Dy after structural relaxation at the PBE level of DFT.

```
15
Lattice="-6.116 6.116 3.879 6.116 -6.116 3.879 6.116 6.116 -3.879" Properties=species:S:1:pos:R:3 pbc="T T T"
Tb 4.905 3.681 -1.953
Tb 2.436 -1.212 1.926
Tb 6.116 0.000 1.940
Tb 3.681 7.328 -1.953
Tb 1.212 2.436 1.926
Tb 4.905 3.681 1.953
Tb 2.436 -1.212 5.832
Tb 0.000 6.116 1.940
Tb 3.681 7.328 1.953
Tb 1.212 2.436 5.832
Pm 7.345 2.459 0.000
Pm 2.459 4.887 0.000
Pm 3.657 1.229 3.879
Pm -1.229 3.657 3.879
Dy 0.000 0.000 0.000
```

Results
symmetry	I4/m, No. 87
formation enthalpy at 0 K	745.6	meV/atom
uncorrected energy	-3.915	eV/atom

***

[5]
Computed, not measured: KAl3Si after structural relaxation at the PBE level of DFT.

```
5
Lattice="5.568 0.000 0.000 0.000 5.568 0.000 0.000 0.000 5.568" Properties=species:S:1:pos:R:3 pbc="T T T"
K 0.000 0.000 0.000
Al 0.000 0.000 2.784
Al 0.000 2.784 0.000
Al 2.784 0.000 0.000
Si 2.784 2.784 2.784
```

Results
distance to the lowest polymorph of the same formula	1.340	eV per atom
energy relative to the elements, uncorrected	1846	meV/atom
symmetry	Pm-3m, No. 221
uncorrected energy	-1.703	eV/atom

***

[6]
Computed, not measured: MgHg2Pb after structural relaxation at the PBE level of DFT.

```
4
Lattice="1.768 1.021 9.462 -1.768 1.021 9.462 0.000 -2.042 9.462" Properties=species:S:1:pos:R:3 pbc="T T T"
Mg 0.000 0.000 0.000
Hg 0.000 0.000 11.579
Hg 0.000 0.000 16.827
Pb 0.000 0.000 23.675
```

Results
symmetry	R3m, No. 160
formation enthalpy at 0 K	-71.2	meV/atom
uncorrected energy	-1.548	eV/atom

***

[7]
Computed, not measured: Be2HgPb after structural relaxation at the PBE level of DFT.

```
4
Lattice="3.954 0.000 0.000 0.000 4.071 0.000 -1.819 0.000 4.500" Properties=species:S:1:pos:R:3 pbc="T T T"
Be 0.000 0.000 0.000
Be -0.009 2.036 1.001
Hg 2.083 0.000 1.820
Pb 0.138 2.036 3.656
```

Results
distance to the lowest polymorph of the same formula	0.098	eV per atom
symmetry	Pm, No. 6
formation enthalpy at 0 K	470.1	meV/atom
uncorrected energy	-2.396	eV/atom

***

[8]
Computed, not measured: CaZrTlF7 after structural relaxation at the PBE level of DFT.

```
20
Lattice="3.499 -5.667 0.000 3.499 5.667 0.000 0.000 0.000 8.644" Properties=species:S:1:pos:R:3 pbc="T T T"
Ca 3.499 3.512 6.483
Ca 3.499 -3.512 2.161
Zr 3.499 3.473 2.161
Zr 3.499 -3.473 6.483
Tl 3.499 0.000 0.000
Tl 3.499 0.000 4.322
F 3.499 5.539 2.161
F 2.055 1.622 6.483
F 2.271 1.722 2.161
F 3.499 3.382 0.112
F 3.499 3.382 4.210
F 2.055 -1.622 2.161
F 2.271 -1.722 6.483
F 4.728 1.722 2.161
F 4.943 1.622 6.483
F 3.499 -3.382 4.435
F 3.499 -3.382 8.532
F 4.728 -1.722 6.483
F 4.943 -1.622 2.161
F 3.499 -5.539 6.483
```

Results
energy relative to the elements, uncorrected	-3442	meV/atom
symmetry	Cmcm, No. 63
uncorrected energy	-6.044	eV/atom

***

Here are the calculated density numbers, same order: 12.89, 8.95, 6.95, 6.67, 1.42, 10.25, 9.76, 4.54 (Mg/m³).